# Tb8Tm3Th2 | Alexandria | PBE | optimized geometry
# Formation energy from the elements (meV/atom): 153.8
# Energy above the most stable polymorph in this dataset (eV/atom): 0.0000
# DOS at the Fermi energy (states/eV per atom): 1.216
data_Tb8Tm3Th2
_chemical_formula_sum 'Tb16 Tm6 Th4'
_space_group_name_H-M_alt 'P 1 21/c 1'
_space_group_IT_number 14
_space_group_name_Hall '-P 2ybc'
_cell_length_a 6.621
_cell_length_b 17.473
_cell_length_c 7.622
_cell_angle_alpha 90.00
_cell_angle_beta 106.61
_cell_angle_gamma 90.00
loop_
_atom_site_label
_atom_site_type_symbol
_atom_site_fract_x
_atom_site_fract_y
_atom_site_fract_z
_atom_site_occupancy
Tb1 Tb 0.086 0.072 0.150 1
Tb2 Tb 0.136 0.081 0.632 1
Tb3 Tb 0.355 0.238 0.964 1
Tb4 Tb 0.358 0.615 0.176 1
Tm1 Tm 0.102 0.746 0.401 1
Tm2 Tm 0.500 0.000 0.000 1
Th1 Th 0.339 0.612 0.751 1